No. 1
# ScTa2Ni

Crystalline ScTa2Ni at its relaxed geometry (PBEsol, Alexandria).

Summary:
SG: P2/m, No. 10
E_form, kcal/mol of atoms: 2.5
Density, g/cm3: 11.6

Cell and atoms, written as POSCAR:
```
ScTa2Ni
1.0
-2.219 0.771 1.630
-2.339 -3.815 -1.381
2.702 -2.828 3.235
Ni Sc Ta
1 1 2
Direct
0.500 0.500 0.000
0.000 0.500 0.500
0.711 0.000 0.760
0.289 0.000 0.240
```

No. 2
# ScTaNi2

Crystalline ScTaNi2 at its relaxed geometry (PBEsol, Alexandria).

Summary:
SG: Pm, No. 6
E_form, kcal/mol of atoms: -7.5
Density, g/cm3: 9.7

Cell and atoms, written as POSCAR:
```
ScTaNi2
1.0
-2.219 -0.973 1.788
2.266 -3.220 1.060
2.914 2.968 2.787
Sc Ni Ta
1 2 1
Direct
0.516 0.000 0.414
0.790 0.000 0.951
0.955 0.500 0.288
0.239 0.500 0.847
```

No. 3
# Sc2TcNi

Crystalline Sc2TcNi at its relaxed geometry (PBEsol, Alexandria).

Summary:
SG: P4/mmm, No. 123
E_form, kcal/mol of atoms: -7.0
Density, g/cm3: 6.5

Cell and atoms, written as POSCAR:
```
Sc2TcNi
1.0
3.190 0.000 0.000
0.000 3.190 0.000
0.000 0.000 6.210
Sc Ni Tc
2 1 1
Direct
0.000 0.000 0.749
0.000 0.000 0.251
0.500 0.500 0.500
0.500 0.500 0.000
```

No. 4
# Sc2TcNi

Crystalline Sc2TcNi at its relaxed geometry (PBEsol, Alexandria).

Summary:
SG: Imm2, No. 44
E_form, kcal/mol of atoms: -4.2
Density, g/cm3: 6.4

Cell and atoms, written as POSCAR:
```
Sc2TcNi
1.0
3.234 0.000 0.000
0.000 4.294 0.000
-1.617 -2.147 4.612
Ni Sc Tc
1 2 1
Direct
0.237 0.737 0.474
0.985 0.985 0.970
0.761 0.261 0.521
0.517 0.517 0.035
```

No. 5
# ScTcNi2

Crystalline ScTcNi2 at its relaxed geometry (PBEsol, Alexandria).

Summary:
SG: Fm-3m, No. 225
E_form, kcal/mol of atoms: -0.8
Density, g/cm3: 8.0

Cell and atoms, written as POSCAR:
```
ScTcNi2
1.0
-2.538 2.840 1.882
-3.857 -1.163 1.348
-0.796 -0.293 4.163
Ni Sc Tc
2 1 1
Direct
0.250 0.250 0.250
0.750 0.750 0.750
0.000 0.000 0.000
0.500 0.500 0.500
```

No. 6
# ScTcNi6

Crystalline ScTcNi6 at its relaxed geometry (PBEsol, Alexandria).

Summary:
SG: Cmmm, No. 65
E_form, kcal/mol of atoms: -3.9
Density, g/cm3: 8.8

Cell and atoms, written as POSCAR:
```
ScTcNi6
1.0
-3.939 -4.667 -1.279
2.646 2.001 -5.284
7.561 -6.722 1.241
Ni Sc Tc
24 4 4
Direct
0.255 0.745 0.758
0.871 0.616 0.878
0.129 0.384 0.878
0.745 0.255 0.758
0.384 0.129 0.878
0.616 0.871 0.878
0.500 0.500 0.500
0.132 0.380 0.629
0.380 0.132 0.629
0.255 0.745 0.242
0.868 0.620 0.371
0.132 0.380 0.371
0.745 0.255 0.242
0.380 0.132 0.371
0.620 0.868 0.371
0.500 0.500 0.000
0.129 0.384 0.122
0.384 0.129 0.122
0.000 0.000 0.500
0.620 0.868 0.629
0.868 0.620 0.629
0.000 0.000 0.000
0.616 0.871 0.122
0.871 0.616 0.122
0.249 0.751 0.500
0.751 0.249 0.500
0.000 0.000 0.750
0.000 0.000 0.250
0.243 0.757 0.000
0.757 0.243 0.000
0.500 0.500 0.749
0.500 0.500 0.251
```

No. 7
# Sc2TcNi

Crystalline Sc2TcNi at its relaxed geometry (PBEsol, Alexandria).

Summary:
SG: Fm-3m, No. 225
E_form, kcal/mol of atoms: -6.8
Density, g/cm3: 6.5

Cell and atoms, written as POSCAR:
```
Sc2TcNi
1.0
-2.676 -3.382 1.124
0.979 -2.537 3.531
-2.489 0.258 3.688
Sc Ni Tc
2 1 1
Direct
0.750 0.750 0.750
0.250 0.250 0.250
0.500 0.500 0.500
0.000 0.000 0.000
```

No. 8
# ScNiTe2

Crystalline ScNiTe2 at its relaxed geometry (PBEsol, Alexandria).

Summary:
Uncorrected formation energy, eV per formula unit: -2.53
SG: R3m, No. 160
Density, g/cm3: 6.2

Cell and atoms, written as POSCAR:
```
ScNiTe2
1.0
4.032 0.000 0.000
2.016 3.492 0.000
2.016 1.164 6.775
Ni Sc Te
1 1 2
Direct
0.493 0.493 0.520
0.232 0.232 0.303
0.981 0.981 0.056
0.793 0.793 0.621
```

No. 9
# Sc5Ni2Te2

Crystalline Sc5Ni2Te2 at its relaxed geometry (PBEsol, Alexandria).

Summary:
Uncorrected formation energy, eV per formula unit: -7.24
SG: Pnma, No. 62
Density, g/cm3: 5.5

Cell and atoms, written as POSCAR:
```
Sc5Ni2Te2
1.0
-3.273 -1.305 1.712
3.963 -9.727 0.162
7.056 3.140 15.879
Sc Ni Te
20 8 8
Direct
0.250 0.172 0.480
0.750 0.828 0.520
0.750 0.672 0.020
0.250 0.328 0.980
0.250 0.061 0.073
0.750 0.939 0.927
0.750 0.561 0.427
0.250 0.439 0.573
0.250 0.804 0.368
0.750 0.196 0.632
0.750 0.304 0.132
0.250 0.696 0.868
0.250 0.019 0.774
0.750 0.981 0.226
0.750 0.519 0.726
0.250 0.481 0.274
0.250 0.783 0.151
0.750 0.217 0.849
0.750 0.283 0.349
0.250 0.717 0.651
0.250 0.673 0.496
0.750 0.327 0.504
0.750 0.173 0.004
0.250 0.827 0.996
0.250 0.398 0.417
0.750 0.602 0.583
0.750 0.898 0.083
0.250 0.102 0.917
0.250 0.193 0.233
0.750 0.807 0.767
0.750 0.693 0.267
0.250 0.307 0.733
0.250 0.990 0.608
0.750 0.010 0.392
0.750 0.490 0.892
0.250 0.510 0.108
```

No. 10
# ScNiTe2

Crystalline ScNiTe2 at its relaxed geometry (PBEsol, Alexandria).

Summary:
Uncorrected formation energy, eV per formula unit: -1.73
SG: P4/mmm, No. 123
Density, g/cm3: 7.6

Cell and atoms, written as POSCAR:
```
ScNiTe2
1.0
3.530 0.000 0.000
0.000 4.716 0.000
0.000 0.000 4.716
Ni Sc Te
1 1 2
Direct
0.500 0.000 0.000
0.500 0.500 0.500
0.000 0.000 0.500
0.000 0.500 0.000
```

No. 11
# ScNiTe2

Crystalline ScNiTe2 at its relaxed geometry (PBEsol, Alexandria).

Summary:
Uncorrected formation energy, eV per formula unit: -2.45
SG: P4mm, No. 99
Density, g/cm3: 6.9

Cell and atoms, written as POSCAR:
```
ScNiTe2
1.0
-0.056 3.548 1.229
-3.392 -0.574 1.503
2.619 -1.772 5.235
Ni Sc Te
1 1 2
Direct
0.000 0.000 0.483
0.500 0.500 0.775
0.000 0.000 0.909
0.500 0.500 0.333
```

No. 12
# Sc2Ni2Te

Crystalline Sc2Ni2Te at its relaxed geometry (PBEsol, Alexandria).

Summary:
Uncorrected formation energy, eV per formula unit: -1.69
SG: I4/mmm, No. 139
Density, g/cm3: 6.1

Cell and atoms, written as POSCAR:
```
Sc2Ni2Te
1.0
4.311 0.000 0.000
0.000 4.311 0.000
-2.156 -2.156 4.930
Ni Sc Te
2 2 1
Direct
0.613 0.613 0.227
0.387 0.387 0.773
0.250 0.750 0.500
0.750 0.250 0.500
0.000 0.000 0.000
```

No. 13
# ScNi2Te2

Crystalline ScNi2Te2 at its relaxed geometry (PBEsol, Alexandria).

Summary:
Uncorrected formation energy, eV per formula unit: -2.06
SG: I4/mmm, No. 139
Density, g/cm3: 7.6

Cell and atoms, written as POSCAR:
```
ScNi2Te2
1.0
-3.153 -1.696 0.860
0.221 -1.981 -3.096
4.929 -2.930 4.415
Sc Ni Te
1 2 2
Direct
0.000 0.000 0.000
0.250 0.750 0.500
0.750 0.250 0.500
0.378 0.378 0.757
0.622 0.622 0.243
```

No. 14
# ScZnNi2Te

Crystalline ScZnNi2Te at its relaxed geometry (PBEsol, Alexandria).

Summary:
Uncorrected formation energy, eV per formula unit: 2.81
SG: P4/mmm, No. 123
Density, g/cm3: 5.7

Cell and atoms, written as POSCAR:
```
ScZnNi2Te
1.0
-0.515 4.455 0.546
-4.460 -0.446 -0.563
-0.558 -0.671 4.952
Sc Ni Zn Te
1 2 1 1
Direct
0.500 0.500 0.500
0.000 0.500 0.000
0.500 0.000 0.000
0.000 0.000 0.500
0.000 0.000 0.000
```

No. 15
# ScTiNi3

Crystalline ScTiNi3 at its relaxed geometry (PBEsol, Alexandria).

Summary:
SG: Pm-3m, No. 221
E_form, kcal/mol of atoms: 19.7
Density, g/cm3: 5.6

Cell and atoms, written as POSCAR:
```
ScTiNi3
1.0
-3.511 0.795 -2.356
1.992 -1.543 -3.488
-1.489 -3.937 0.891
Sc Ni Ti
1 3 1
Direct
0.000 0.000 0.000
0.000 0.500 0.000
0.000 0.000 0.500
0.500 0.000 0.000
0.500 0.500 0.500
```

No. 16
# Sc2TlNi

Crystalline Sc2TlNi at its relaxed geometry (PBEsol, Alexandria).

Summary:
SG: I-4m2, No. 119
E_form, kcal/mol of atoms: -4.2
Density, g/cm3: 7.9

Cell and atoms, written as POSCAR:
```
Sc2TlNi
1.0
-2.254 -3.167 -1.273
2.011 -2.465 2.571
-2.865 3.672 2.507
Ni Sc Tl
1 2 1
Direct
0.250 0.750 0.500
0.000 0.000 0.000
0.750 0.250 0.500
0.500 0.500 0.000
```

No. 17
# Sc2TlNi

Crystalline Sc2TlNi at its relaxed geometry (PBEsol, Alexandria).

Summary:
SG: P4/mmm, No. 123
E_form, kcal/mol of atoms: -9.9
Density, g/cm3: 7.8

Cell and atoms, written as POSCAR:
```
Sc2TlNi
1.0
-1.454 -2.630 -1.181
2.680 -0.746 -1.639
2.363 -3.822 5.603
Sc Ni Tl
2 1 1
Direct
0.000 0.000 0.707
0.000 0.000 0.293
0.500 0.500 0.500
0.500 0.500 0.000
```

No. 18
# Sc2TlNi

Crystalline Sc2TlNi at its relaxed geometry (PBEsol, Alexandria).

Summary:
SG: R-3m, No. 166
E_form, kcal/mol of atoms: -5.6
Density, g/cm3: 7.2

Cell and atoms, written as POSCAR:
```
Sc2TlNi
1.0
-1.406 2.036 -2.376
-3.377 -0.129 -0.587
-2.779 6.314 4.579
Ni Sc Tl
1 2 1
Direct
0.000 0.000 0.000
0.268 0.268 0.197
0.732 0.732 0.803
0.500 0.500 0.500
```

No. 19
# ScTlNi

Crystalline ScTlNi at its relaxed geometry (PBEsol, Alexandria).

Summary:
SG: F-43m, No. 216
E_form, kcal/mol of atoms: 5.7
Density, g/cm3: 8.2

Cell and atoms, written as POSCAR:
```
ScTlNi
1.0
-3.029 3.005 -1.274
-1.577 -0.056 -4.164
-4.200 -1.262 -0.773
Ni Sc Tl
1 1 1
Direct
0.000 0.000 0.000
0.500 0.500 0.500
0.250 0.250 0.250
```

No. 20
# Sc2NiW

Crystalline Sc2NiW at its relaxed geometry (PBEsol, Alexandria).

Summary:
SG: P4/mmm, No. 123
E_form, kcal/mol of atoms: -0.4
Density, g/cm3: 8.4

Cell and atoms, written as POSCAR:
```
Sc2NiW
1.0
-1.772 1.642 1.645
0.835 -1.481 2.378
5.716 5.038 1.129
Ni Sc W
1 2 1
Direct
0.500 0.500 0.500
0.000 0.000 0.719
0.000 0.000 0.281
0.500 0.500 0.000
```